Here is crystalline La2Pr7Ho3 at its relaxed geometry from Alexandria. Energies are from PBE.

Geometry as extended XYZ:
```
12
Lattice="6.570 0.000 0.000 0.000 3.611 0.000 -1.758 0.000 17.802" Properties=species:S:1:pos:R:3 pbc="T T T"
La 0.093 0.000 3.014
La 4.718 0.000 14.788
Pr -0.879 1.806 8.901
Pr 0.326 0.000 11.922
Pr -0.052 0.000 17.710
Pr 1.253 1.806 5.982
Pr 3.558 1.806 11.820
Pr 4.864 0.000 0.091
Pr 4.486 0.000 5.879
Ho 1.513 1.806 14.972
Ho 2.406 0.000 8.901
Ho 3.299 1.806 2.829
```

Properties
Size of the total moment ... 0.0 μB/f.u.
SG ... P2/m
Formation energy from the elements ... 74 kJ/mol of formula units
Polymorph energy (0 for the lowest one) ... 0.0 meV/atom